The following is a DFT calculation (PBE-GGA) of LiLaHg2 after structural relaxation.

Calculated values
ΔH_f (0 K)   -0.467 eV per atom

Unit cell a=5.2311 b=5.2311 c=5.2311 alpha=60.00 beta=60.00 gamma=60.00
Atoms (fractional coordinates):
Hg 0.7500 0.7500 0.7500
Hg 0.2500 0.2500 0.2500
Li 0.0000 0.0000 0.0000
La 0.5000 0.5000 0.5000

The following is a DFT calculation (PBE-GGA) of Li2LaHg after structural relaxation.

Calculated values
ΔH_f (0 K)   -0.029 eV per atom

Unit cell a=4.5574 b=4.5574 c=10.7799 alpha=77.80 beta=77.80 gamma=90.00
Last column: magnetic moment on the atom in μB.
Atoms (fractional coordinates):
La 0.5000 0.5000 0.0000  0.31
La 0.2500 0.7500 0.5000  0.31
Hg 0.0000 0.0000 0.0000  0.09
Hg 0.7500 0.2500 0.5000  0.09
Li 0.7334 0.1250 0.2500  0.03
Li 0.8750 0.9834 0.7500  0.03
Li 0.3750 0.2666 0.7500  0.03
Li 0.0166 0.6250 0.2500  0.03

The following is a DFT calculation (PBE-GGA) of Li3LaHg9 after structural relaxation.

Calculated values
ΔH_f (0 K)   -0.264 eV per atom

Unit cell a=5.7018 b=7.5854 c=7.7707 alpha=82.14 beta=68.48 gamma=68.10
Atoms (fractional coordinates):
Hg 0.5277 0.2103 0.7810
Hg 0.4723 0.7897 0.2190
Hg 0.6913 0.7897 0.7810
Hg 0.3326 0.6752 0.6459
Hg 0.0215 0.3248 0.6459
Hg 0.3087 0.2103 0.2190
Hg 0.0000 0.5000 0.0000
Hg 0.6674 0.3248 0.3541
Hg 0.9785 0.6752 0.3541
Li 0.5000 0.5000 0.0000
Li 0.5000 0.0000 0.5000
Li 0.0000 0.0000 0.5000
La 0.0000 0.0000 0.0000

> ΔH_f (0 K) of number 2 (Li2LaHg)?

-0.029 eV per atom

Please write out number 1 again, unchanged.
The following is a DFT calculation (PBE-GGA) of LiLaHg2 after structural relaxation.

Calculated values
ΔH_f (0 K)   -0.467 eV per atom

Unit cell a=5.2311 b=5.2311 c=5.2311 alpha=60.00 beta=60.00 gamma=60.00
Atoms (fractional coordinates):
Hg 0.7500 0.7500 0.7500
Hg 0.2500 0.2500 0.2500
Li 0.0000 0.0000 0.0000
La 0.5000 0.5000 0.5000

> Among the records above, which one has the highest ΔH_f (0 K)?

Li2LaHg